No. 1
TaReH2W | PBE | relaxed

Lattice parameters (Å, degrees): 3.6030 3.6030 5.2744 90.00 90.00 90.00
Space group P4/mmm (No. 123)
One atom of each set of equivalent atoms:
Ta (0.0000, 0.0000, 0.0000) x1
Re (0.0000, 0.0000, 0.5000) x1
H (0.0000, 0.5000, 0.0000) x2
W (0.5000, 0.5000, 0.5000) x1

VASP energy	-7.891	eV per atom
total moment	0.000	μB/atom

***

No. 2
Tb2ReH | PBE | relaxed

Lattice parameters (Å, degrees): 3.0499 3.0499 26.5456 90.00 90.00 120.00
Space group R-3m (No. 166, hexagonal axes)
One atom of each set of equivalent atoms:
Tb (0.0000, 0.0000, 0.1049) x6
Re (0.0000, 0.0000, 0.0000) x3
H (0.0000, 0.0000, 0.5000) x3

VASP energy	-5.705	eV per atom
total moment	0.000	μB/atom

***

No. 3
Tb12Re3H5 | PBE | relaxed

Lattice parameters (Å, degrees): 15.2130 15.2130 15.2130 90.00 90.00 90.00
Space group Ia-3d (No. 230)
One atom of each set of equivalent atoms:
Tb (0.0321, 0.0616, 0.6556) x96
Re (0.0000, 0.2500, 0.1250) x24
H (0.0000, 0.0000, 0.0000) x16
H (0.0000, 0.2500, 0.3750) x24

VASP energy	-5.607	eV per atom
total moment	0.000	μB/atom

***

No. 4
ReTcH3 | PBE | relaxed

Lattice parameters (Å, degrees): 3.3992 3.3992 3.3992 90.00 90.00 90.00
Space group Pm-3m (No. 221)
One atom of each set of equivalent atoms:
Re (0.0000, 0.0000, 0.0000) x1
Tc (0.5000, 0.5000, 0.5000) x1
H (0.0000, 0.5000, 0.5000) x3

VASP energy	-5.870	eV per atom
total moment	0.000	μB/atom